No. 1
The following is a PBE calculation of a relaxed La6Ho5Er2 crystal, from Alexandria.

Calculated values
Formation energy from the elements = 0.11 eV/atom

a = 11.7383 Å, b = 20.8875 Å, c = 3.6352 Å
α = 90.00°, β = 90.00°, γ = 90.00°
Fractional positions:
La: 0.0604 0.0806 0.0000
La: 0.0827 0.3672 0.0000
La: 0.1720 0.6362 0.5000
La: 0.3280 0.1362 0.5000
La: 0.4173 0.8672 0.0000
La: 0.4396 0.5806 0.0000
La: 0.5604 0.4194 0.0000
La: 0.5827 0.1328 0.0000
La: 0.6720 0.8638 0.5000
La: 0.8280 0.3638 0.5000
La: 0.9173 0.6328 0.0000
La: 0.9396 0.9194 0.0000
Ho: 0.0000 0.5000 0.5000
Ho: 0.0944 0.2273 0.5000
Ho: 0.1990 0.9424 0.5000
Ho: 0.3010 0.4424 0.5000
Ho: 0.4056 0.7273 0.5000
Ho: 0.5000 0.0000 0.5000
Ho: 0.5944 0.2727 0.5000
Ho: 0.6990 0.5576 0.5000
Ho: 0.8010 0.0576 0.5000
Ho: 0.9056 0.7727 0.5000
Er: 0.1635 0.7912 0.0000
Er: 0.3365 0.2912 0.0000
Er: 0.6635 0.7088 0.0000
Er: 0.8365 0.2088 0.0000

=====

No. 2
The following is a PBE calculation of a relaxed Li5PaSe4 crystal, from Alexandria.

Calculated values
Uncorrected formation energy = -114.77 kJ/mol of atoms

a = 8.2458 Å, b = 8.2458 Å, c = 8.2458 Å
α = 151.40°, β = 125.27°, γ = 62.91°
Fractional positions:
Li: 0.0000 0.0000 0.0000
Li: 0.1145 0.3217 0.7928
Li: 0.4711 0.6783 0.7928
Li: 0.5289 0.3217 0.2072
Li: 0.8855 0.6783 0.2072
Pa: 0.5000 0.0000 0.5000
Se: 0.2277 0.5000 0.7277
Se: 0.2875 0.7875 0.5000
Se: 0.7125 0.2125 0.5000
Se: 0.7723 0.5000 0.2723

=====

No. 3
The following is a PBE calculation of a relaxed ScIrRu3 crystal, from Alexandria.

Calculated values
Polymorph energy (0 for the lowest one) = 0 meV/atom
Formation energy from the elements = 1.15 eV/atom

a = 4.6823 Å, b = 4.6823 Å, c = 4.6823 Å
α = 90.00°, β = 90.00°, γ = 90.00°
Fractional positions:
Sc: 0.0000 0.0000 0.0000
Ir: 0.5000 0.5000 0.5000
Ru: 0.0000 0.5000 0.5000
Ru: 0.5000 0.0000 0.5000
Ru: 0.5000 0.5000 0.0000

=====

No. 4
The following is a PBE calculation of a relaxed AcGe2Pd2 crystal, from Alexandria.

Calculated values
Polymorph energy (0 for the lowest one) = 0 meV/atom
Formation energy from the elements = -0.82 eV/atom

a = 4.4948 Å, b = 4.4948 Å, c = 10.2635 Å
α = 90.00°, β = 90.00°, γ = 90.00°
Fractional positions:
Ac: 0.2500 0.2500 0.2479
Ac: 0.7500 0.7500 0.7521
Ge: 0.2500 0.2500 0.6241
Ge: 0.2500 0.7500 0.0000
Ge: 0.7500 0.2500 0.0000
Ge: 0.7500 0.7500 0.3759
Pd: 0.2500 0.2500 0.8729
Pd: 0.2500 0.7500 0.5000
Pd: 0.7500 0.2500 0.5000
Pd: 0.7500 0.7500 0.1271